DFT (PBE with a Hubbard U) results for Tl3Cd2NiF9 after structural relaxation.

Summary:
- Total moment: 2.1 Bohr magnetons per cell
- Calculated volume: 249.7 Å³/f.u.
- Total DFT energy (no corrections): -3.927 eV per atom

Cell: 6.1683 6.1683 7.5778 Å, 90.00 90.00 120.00°
Each line ends with the local moment (μB).
Element x y z (fractional)
Tl1 0.0000 0.0000 0.0000  0.00
F1 0.8428 0.1572 0.6540  0.03
F2 0.5000 0.5000 0.0000  0.01
F3 0.3145 0.1572 0.6540  0.03
F4 0.8428 0.6855 0.6540  0.03
F5 0.6855 0.8428 0.3460  0.03
Cd1 0.6667 0.3333 0.8194  0.01
Cd2 0.3333 0.6667 0.1806  0.01
F6 0.1572 0.8428 0.3460  0.03
Tl2 0.3333 0.6667 0.6681  0.01
Ni1 0.0000 0.0000 0.5000  1.84
F7 0.5000 0.0000 0.0000  0.01
F8 0.0000 0.5000 0.0000  0.01
Tl3 0.6667 0.3333 0.3319  0.01
F9 0.1572 0.3145 0.3460  0.03